1.
DFT (PBE-GGA) results for Tm6Cu5Tc after structural relaxation.

Unit cell a=4.844 b=6.795 c=7.653 alpha=90.00 beta=71.55 gamma=90.00
Atoms (fractional coordinates):
Tm1 0.165 0.246 0.671
Cu1 0.334 0.500 0.333
Tm2 0.165 0.754 0.671
Cu2 0.338 0.000 0.324
Tc1 0.000 0.000 0.000
Cu3 0.666 0.500 0.667
Tm3 0.835 0.754 0.329
Cu4 0.662 0.000 0.676
Tm4 0.500 0.755 0.000
Tm5 0.500 0.245 0.000
Tm6 0.835 0.246 0.329
Cu5 0.000 0.500 0.000

Output
Space-group type: Cmmm, No. 65

2.
DFT (PBE-GGA) results for Tm4Cu3Tc after structural relaxation.

Unit cell a=3.408 b=3.408 c=13.696 alpha=90.00 beta=90.00 gamma=90.00
Atoms (fractional coordinates):
Tm1 0.000 0.000 0.374
Tm2 0.000 0.000 0.120
Cu1 0.500 0.500 0.500
Cu2 0.500 0.500 0.750
Tm3 0.000 0.000 0.626
Tm4 0.000 0.000 0.880
Cu3 0.500 0.500 0.250
Tc1 0.500 0.500 0.000

Output
Space-group type: P4/mmm, No. 123

3.
DFT (PBE-GGA) results for Tm2CuTc after structural relaxation.

Unit cell a=4.801 b=4.801 c=4.801 alpha=60.00 beta=60.00 gamma=60.00
Atoms (fractional coordinates):
Cu1 0.500 0.500 0.500
Tm1 0.750 0.750 0.750
Tc1 0.000 0.000 0.000
Tm2 0.250 0.250 0.250

Output
Space-group type: Fm-3m, No. 225

4.
DFT (PBE-GGA) results for Tm4CuTc after structural relaxation.

Unit cell a=7.633 b=7.633 c=7.633 alpha=105.54 beta=105.54 gamma=117.66
Atoms (fractional coordinates):
Cu1 0.250 0.250 0.000
Tc1 0.498 0.998 0.500
Tm1 0.306 0.509 0.797
Tm2 0.742 0.450 0.708
Tm3 0.712 0.509 0.203
Tm4 0.742 0.034 0.292
Tm5 0.784 0.992 0.792
Tm6 0.259 0.556 0.297
Tm7 0.259 0.962 0.703
Tc2 0.748 0.748 0.000
Cu2 0.000 0.500 0.500
Tm8 0.200 0.992 0.208

Output
Polymorph energy (0 for the lowest one) (eV per formula unit): 1.17
Space-group type: I4_1md, No. 109

5.
DFT (PBE-GGA) results for Tm2CuTc after structural relaxation.

Unit cell a=3.408 b=3.408 c=6.858 alpha=90.00 beta=90.00 gamma=90.00
Atoms (fractional coordinates):
Tc1 0.500 0.500 0.000
Tm1 0.000 0.000 0.763
Tm2 0.000 0.000 0.237
Cu1 0.500 0.500 0.500

Output
Space-group type: P4/mmm, No. 123

6.
DFT (PBE-GGA) results for Tm4Cu2Tc after structural relaxation.

Unit cell a=4.800 b=4.800 c=8.312 alpha=73.22 beta=73.22 gamma=60.00
Atoms (fractional coordinates):
Tm1 0.625 0.625 0.124
Tm2 0.123 0.123 0.632
Tc1 0.000 0.000 0.000
Cu1 0.747 0.747 0.759
Tm3 0.375 0.375 0.876
Cu2 0.253 0.253 0.241
Tm4 0.877 0.877 0.368

Output
Space-group type: R-3m, No. 166

7.
DFT (PBE-GGA) results for TmZrCuTc after structural relaxation.

Unit cell a=4.720 b=4.720 c=4.720 alpha=60.00 beta=60.00 gamma=60.00
Atoms (fractional coordinates):
Tm1 0.000 0.000 0.000
Tc1 0.750 0.750 0.750
Zr1 0.500 0.500 0.500
Cu1 0.250 0.250 0.250

Output
Space-group type: F-43m, No. 216

8.
DFT (PBE-GGA) results for UCuTc after structural relaxation.

Unit cell a=3.135 b=3.135 c=5.704 alpha=105.95 beta=105.95 gamma=90.00
Each line ends with the local moment (μB).
Atoms (fractional coordinates):
U1 0.319 0.319 0.637  0.68
Cu1 0.019 0.019 0.039  -0.01
Tc1 0.662 0.662 0.324  -0.16

Output
Polymorph energy (0 for the lowest one) (eV per formula unit): 0.00
Space-group type: I4mm, No. 107

9.
DFT (PBE-GGA) results for UCu4Tc after structural relaxation.

Unit cell a=4.945 b=4.945 c=4.945 alpha=60.00 beta=60.00 gamma=60.00
Each line ends with the local moment (μB).
Atoms (fractional coordinates):
Cu1 0.624 0.624 0.624  0.01
Cu2 0.127 0.624 0.624  0.01
Tc1 0.250 0.250 0.250  0.17
Cu3 0.624 0.624 0.127  0.01
Cu4 0.624 0.127 0.624  0.01
U1 0.000 0.000 0.000  -0.48

Output
Space-group type: F-43m, No. 216

10.
DFT (PBE-GGA) results for UCuTc after structural relaxation.

Unit cell a=2.968 b=2.968 c=13.847 alpha=83.85 beta=83.85 gamma=60.00
Atoms (fractional coordinates):
Tc1 0.751 0.751 0.748
Cu1 0.311 0.311 0.066
Tc2 0.249 0.249 0.252
U1 0.866 0.866 0.403
U2 0.134 0.134 0.597
Cu2 0.689 0.689 0.934

Output
Polymorph energy (0 for the lowest one) (eV per formula unit): 0.82
Space-group type: R-3m, No. 166

11.
DFT (PBE-GGA) results for ZrUCuTc after structural relaxation.

Unit cell a=4.724 b=4.724 c=4.724 alpha=60.00 beta=60.00 gamma=60.00
Each line ends with the local moment (μB).
Atoms (fractional coordinates):
Cu1 0.750 0.750 0.750  -0.01
Tc1 0.250 0.250 0.250  -0.19
Zr1 0.500 0.500 0.500  0.17
U1 0.000 0.000 0.000  1.79

Output
Space-group type: F-43m, No. 216

12.
DFT (PBE-GGA) results for VCuTc after structural relaxation.

Unit cell a=2.516 b=4.293 c=4.293 alpha=120.00 beta=90.00 gamma=90.00
Atoms (fractional coordinates):
V1 0.662 0.667 0.333
Tc1 0.367 0.333 0.667
Cu1 0.971 0.000 0.000

Output
Polymorph energy (0 for the lowest one) (eV per formula unit): 0.00
Space-group type: P3m1, No. 156

Number 1: E_form -3.03 eV per formula unit. Number 2: E_form -1.82 eV per formula unit. Number 3: E_form -0.64 eV per formula unit. Number 4: E_form 0.46 eV per formula unit. Number 5: E_form -0.72 eV per formula unit. Number 6: E_form -0.97 eV per formula unit. Number 7: E_form -0.85 eV per formula unit. Number 8: E_form 0.75 eV per formula unit. Number 9: E_form 0.89 eV per formula unit. Number 10: E_form 1.57 eV per formula unit. Number 11: E_form 0.24 eV per formula unit. Number 12: E_form 0.07 eV per formula unit.